Nd2Er4Mg | GGA-PBE | relaxed

## Properties
Calculated total energy (eV/atom): -3.870
Density of states at the Fermi level (states/eV/cell): 20.28
Crystal system: tetragonal

Cell lengths 8.2269, 8.2269, 6.6470 Å; angles 90.00, 90.00, 90.00 degrees
Closest atoms and distances in Å follow each position.
Space group I-42m (No. 121)
Symmetry-distinct sites (fractional):
Nd 0.0000 0.5000 0.2500  4 Er 3.19, 2 Nd 3.32
Er 0.2015 0.2015 0.0720  2 Nd 3.19, 4 Er 3.45-3.51, 1 Mg 3.51
Mg 0.0000 0.0000 0.5000  8 Er 3.51-3.69

=====

GeTeW3 | GGA-PBE | relaxed

## Properties
Calculated total energy (eV/atom): -6.743
ΔE to the lowest computed polymorph (meV/atom): 779.8
Density of states at the Fermi level (states/eV/cell): 6.86
E_form (uncorrected) (eV/atom): 2.581
Crystal system: cubic

Cell lengths 4.9090, 4.9090, 4.9090 Å; angles 90.00, 90.00, 90.00 degrees
Closest atoms and distances in Å follow each position.
Space group Pm-3m (No. 221)
Symmetry-distinct sites (fractional):
Ge 0.0000 0.0000 0.0000  12 W 3.47
Te 0.5000 0.5000 0.5000  6 W 2.45
W 0.0000 0.5000 0.5000  2 Te 2.45

=====

Tm2Al5Rh | GGA-PBE | relaxed

## Properties
Calculated total energy (eV/atom): -4.814
Density of states at the Fermi level (states/eV/cell): 6.03
Crystal system: tetragonal

Cell lengths 6.2392, 6.2392, 7.8497 Å; angles 90.00, 90.00, 90.00 degrees
Closest atoms and distances in Å follow each position.
Space group I4mm (No. 107)
Symmetry-distinct sites (fractional):
Tm 0.0000 0.5000 0.0000  10 Al 2.94-3.13
Al 0.0000 0.0000 0.4685  1 Rh 2.50
Al 0.2211 0.2211 0.7464  1 Rh 2.57, 2 Al 2.76
Rh 0.0000 0.0000 0.1502  5 Al 2.50-2.57

=====

NaGaPb | GGA-PBE | relaxed

## Properties
Calculated total energy (eV/atom): -2.780
Density of states at the Fermi level (states/eV/cell): 1.14
Crystal system: hexagonal

Cell lengths 4.8554, 4.8554, 7.6782 Å; angles 90.00, 90.00, 120.00 degrees
Closest atoms and distances in Å follow each position.
Space group P-6m2 (No. 187)
Symmetry-distinct sites (fractional):
Na 0.0000 0.0000 0.0000  6 Ga 3.11
Na 0.0000 0.0000 0.5000  6 Pb 3.25
Ga 0.6667 0.3333 0.1743  1 Ga 2.68, 3 Pb 2.93
Pb 0.3333 0.6667 0.2848  3 Ga 2.93, 3 Na 3.25

=====

CuSeBr2F | GGA-PBE | relaxed

## Properties
Calculated total energy (eV/atom): -2.354
ΔE to the lowest computed polymorph (meV/atom): 0.0
Density of states at the Fermi level (states/eV/cell): 8.31
E_form (uncorrected) (eV/atom): 0.206
Crystal system: tetragonal

Cell lengths 4.8842, 4.8842, 4.9295 Å; angles 90.00, 90.00, 90.00 degrees
Closest atoms and distances in Å follow each position.
Space group P4/mmm (No. 123)
Symmetry-distinct sites (fractional):
Cu 0.0000 0.0000 0.0000  4 Br 2.44, 2 Se 2.46
Se 0.0000 0.0000 0.5000  2 Cu 2.46
Br 0.0000 0.5000 0.0000  2 Cu 2.44
F 0.5000 0.5000 0.5000  4 Se 3.45, 8 Br 3.47

=====

FeReBr3 | GGA-PBE | relaxed

## Properties
Calculated total energy (eV/atom): -4.177
ΔE to the lowest computed polymorph (meV/atom): 0.0
Density of states at the Fermi level (states/eV/cell): 4.38
E_form (uncorrected) (eV/atom): 1.009
Crystal system: cubic

Cell lengths 5.1890, 5.1890, 5.1890 Å; angles 90.00, 90.00, 90.00 degrees
Closest atoms and distances in Å follow each position.
Space group Pm-3m (No. 221)
Symmetry-distinct sites (fractional):
Fe 0.0000 0.0000 0.0000  6 Br 2.59
Re 0.5000 0.5000 0.5000  12 Br 3.67
Br 0.0000 0.0000 0.5000  2 Fe 2.59

=====

NpZn2TcH6 | GGA-PBE | relaxed

## Properties
Calculated total energy (eV/atom): -4.490
Density of states at the Fermi level (states/eV/cell): 19.63
Crystal system: monoclinic

Cell lengths 4.5080, 5.7698, 8.4556 Å; angles 90.00, 121.63, 90.00 degrees
Closest atoms and distances in Å follow each position.
Space group P2_1/c (No. 14)
Symmetry-distinct sites (fractional):
Np 0.0000 0.0000 0.0000  6 H 2.17-2.43
Zn 0.2385 0.0397 0.7189  4 H 1.89-2.02
Tc 0.5000 0.0000 0.5000  6 H 1.74-1.86
H 0.1366 0.1251 0.2956  1 Tc 1.79, 1 Zn 1.89
H 0.1847 0.6467 0.0210  1 Tc 1.74, 1 Zn 1.89
H 0.4624 0.6958 0.4196  1 Tc 1.86, 1 Zn 1.99, 1 H 2.06

=====

PuSc2Pd | GGA-PBE | relaxed

## Properties
Calculated total energy (eV/atom): -8.418
ΔE to the lowest computed polymorph (meV/atom): 0.0
Density of states at the Fermi level (states/eV/cell): 7.79
Crystal system: tetragonal

Cell lengths 3.2897, 3.2897, 8.0218 Å; angles 90.00, 90.00, 90.00 degrees
Closest atoms and distances in Å follow each position.
Space group P4/mmm (No. 123)
Symmetry-distinct sites (fractional):
Pu 0.0000 0.0000 0.0000  4 Pu 3.29, 8 Sc 3.32
Sc 0.5000 0.5000 0.2952  4 Pd 2.85
Pd 0.0000 0.0000 0.5000  8 Sc 2.85

=====

Number 1: calculated volume 32.13 Å³ per atom. Number 2: calculated volume 23.66 Å³ per atom. Number 3: calculated volume 19.10 Å³ per atom. Number 4: calculated volume 26.13 Å³ per atom. Number 5: calculated volume 23.52 Å³ per atom. Number 6: calculated volume 27.94 Å³ per atom. Number 7: calculated volume 9.36 Å³ per atom. Number 8: calculated volume 21.70 Å³ per atom.